i.
Compound: TlRh2Cl
Source: Alexandria
Functional: GGA-PBE
Structure: relaxed

Computed properties:
Magnetization = 0.00 Bohr magnetons per cell
Theoretical density = 10461 kg/m3
Symmetry = Immm, No. 71

Geometry as extended XYZ:
```
4
Lattice="-1.480 4.961 -1.481 -2.453 -0.066 -4.793 -0.089 -1.488 5.174" Properties=species:S:1:pos:R:3 pbc="T T T"
Rh -0.046 0.057 -0.073
Rh -1.921 2.390 -3.064
Tl -1.768 2.960 0.278
Cl -2.254 0.447 -1.378
```



ii.
Compound: TlRh2Cl
Source: Alexandria
Functional: GGA-PBE
Structure: relaxed

Computed properties:
Magnetization = 1.59 Bohr magnetons per cell
Theoretical density = 10467 kg/m3
Symmetry = Fm-3m, No. 225

Geometry as extended XYZ:
```
4
Lattice="2.028 -3.932 1.404 0.333 -0.950 4.531 -2.561 -3.399 1.852" Properties=species:S:1:pos:R:3 pbc="T T T"
Cl 0.000 0.000 0.000
Tl -0.100 -4.141 3.894
Rh -0.050 -2.070 1.947
Rh -0.150 -6.211 5.840
```



iii.
Compound: TlRh2Cl
Source: Alexandria
Functional: GGA-PBE
Structure: relaxed

Computed properties:
Magnetization = 0.00 Bohr magnetons per cell
Theoretical density = 10291 kg/m3
Symmetry = Cmmm, No. 65

Geometry as extended XYZ:
```
4
Lattice="3.150 -0.010 0.000 -1.592 2.718 0.000 0.000 0.000 8.416" Properties=species:S:1:pos:R:3 pbc="T T T"
Cl 0.779 1.354 6.312
Tl 0.779 1.354 2.104
Rh 0.000 0.000 4.324
Rh 0.000 0.000 8.300
```



iv.
Compound: TlRh2Cl
Source: Alexandria
Functional: GGA-PBE
Structure: relaxed

Computed properties:
Magnetization = 1.48 Bohr magnetons per cell
Theoretical density = 10143 kg/m3
Symmetry = F-43m, No. 216

Geometry as extended XYZ:
```
4
Lattice="-4.013 -0.773 2.301 -3.230 -2.874 -1.818 -0.803 -4.177 1.977" Properties=species:S:1:pos:R:3 pbc="T T T"
Cl -4.023 -3.912 1.230
Rh 0.000 0.000 0.000
Rh -2.011 -1.956 0.615
Tl -6.034 -5.867 1.845
```



Preferred: i; penalty for the next structure: 0.080 eV/atom.



i.
Compound: TlRhCl
Source: Alexandria
Functional: GGA-PBE
Structure: relaxed

Computed properties:
Magnetization = 0.00 Bohr magnetons per cell
Theoretical density = 8955 kg/m3
Symmetry = Fmm2, No. 42

Geometry as extended XYZ:
```
3
Lattice="-4.649 3.818 0.315 -5.765 0.848 1.514 0.019 1.275 3.143" Properties=species:S:1:pos:R:3 pbc="T T T"
Cl -10.170 4.587 1.859
Tl -7.280 3.648 2.223
Rh -3.360 2.373 2.717
```



ii.
Compound: TlRhCl
Source: Alexandria
Functional: GGA-PBE
Structure: relaxed

Computed properties:
Magnetization = 0.27 Bohr magnetons per cell
Theoretical density = 9396 kg/m3
Symmetry = P-6m2, No. 187

Geometry as extended XYZ:
```
3
Lattice="-3.807 2.268 -0.598 0.084 -3.550 2.717 0.816 2.080 2.692" Properties=species:S:1:pos:R:3 pbc="T T T"
Rh -1.077 -1.264 2.061
Tl -1.966 1.714 2.301
Cl 0.136 0.347 0.450
```



Preferred: ii; penalty for the next structure: 0.026 eV/atom.



i.
Compound: TlRhCl
Source: Alexandria
Functional: GGA-PBE
Structure: relaxed

Computed properties:
Magnetization = 0.00 Bohr magnetons per cell
Theoretical density = 8429 kg/m3
Symmetry = F-43m, No. 216

Geometry as extended XYZ:
```
3
Lattice="4.571 0.000 0.000 2.285 3.958 0.000 2.285 1.319 3.732" Properties=species:S:1:pos:R:3 pbc="T T T"
Cl 4.571 2.639 1.866
Rh 6.856 3.958 2.799
Tl 0.000 0.000 0.000
```



ii.
Compound: TlRhCl
Source: Alexandria
Functional: GGA-PBE
Structure: relaxed

Computed properties:
Magnetization = 0.00 Bohr magnetons per cell
Theoretical density = 9044 kg/m3
Symmetry = P3m1, No. 156

Geometry as extended XYZ:
```
3
Lattice="3.525 0.000 0.000 -1.762 3.053 0.000 0.000 0.000 5.849" Properties=species:S:1:pos:R:3 pbc="T T T"
Cl 0.000 0.000 0.194
Rh 1.762 1.018 1.923
Tl 0.000 2.035 3.732
```



Preferred: ii; penalty for the next structure: 0.067 eV/atom.



i.
Compound: Tl2Rh2Cl
Source: Alexandria
Functional: GGA-PBE
Structure: relaxed

Computed properties:
Magnetization = 0.00 Bohr magnetons per cell
Theoretical density = 10869 kg/m3
Symmetry = P4/mbm, No. 127

Geometry as extended XYZ:
```
10
Lattice="-4.582 0.514 6.190 2.320 -6.994 2.298 2.489 1.393 1.727" Properties=species:S:1:pos:R:3 pbc="T T T"
Rh 0.255 -2.513 1.659
Rh 0.326 -5.888 4.280
Rh -2.588 -0.592 4.208
Rh -2.517 -3.967 6.829
Tl 0.109 -0.304 3.306
Tl -1.799 -1.201 6.781
Tl 2.026 -3.886 3.434
Tl 0.117 -4.783 6.908
Cl 0.000 0.000 0.000
Cl -1.131 -3.240 4.244
```



ii.
Compound: Tl2Rh2Cl
Source: Alexandria
Functional: GGA-PBE
Structure: relaxed

Computed properties:
Magnetization = 0.00 Bohr magnetons per cell
Theoretical density = 9608 kg/m3
Symmetry = I4/mmm, No. 139

Geometry as extended XYZ:
```
5
Lattice="5.442 0.000 0.000 0.000 5.442 0.000 2.721 2.721 3.793" Properties=species:S:1:pos:R:3 pbc="T T T"
Tl 2.721 5.442 1.897
Tl 5.442 2.721 1.897
Rh 5.442 5.442 2.576
Rh 2.721 2.721 1.217
Cl 0.000 0.000 0.000
```



Preferred: i; penalty for the next structure: 0.117 eV/atom.



i.
Compound: Tm2RhCl
Source: Alexandria
Functional: GGA-PBE
Structure: relaxed

Computed properties:
Magnetization = 0.00 Bohr magnetons per cell
Theoretical density = 7978 kg/m3
Symmetry = R3m, No. 160

Geometry as extended XYZ:
```
4
Lattice="-2.728 0.842 2.650 0.197 -1.564 3.563 3.255 5.635 4.424" Properties=species:S:1:pos:R:3 pbc="T T T"
Cl 0.457 2.593 5.373
Rh 1.549 5.127 8.555
Tm 2.412 4.426 3.940
Tm -0.076 0.859 2.512
```



ii.
Compound: Tm2RhCl
Source: Alexandria
Functional: GGA-PBE
Structure: relaxed

Computed properties:
Magnetization = 0.00 Bohr magnetons per cell
Theoretical density = 6872 kg/m3
Symmetry = R-3m, No. 166

Geometry as extended XYZ:
```
4
Lattice="4.066 0.000 0.000 2.033 3.521 0.000 2.033 1.174 8.038" Properties=species:S:1:pos:R:3 pbc="T T T"
Tm 2.033 1.174 5.407
Tm 6.099 3.521 2.632
Cl 0.000 0.000 0.000
Rh 4.066 2.347 4.019
```



Preferred: ii; penalty for the next structure: 0.021 eV/atom.



i.
Compound: VRhCl3
Source: Alexandria
Functional: GGA-PBE
Structure: relaxed

Computed properties:
Magnetization = 4.44 Bohr magnetons per cell
Theoretical density = 3865 kg/m3
Symmetry = Pm-3m, No. 221

Geometry as extended XYZ:
```
5
Lattice="-3.825 2.914 0.286 -2.866 -3.630 -1.348 -0.600 -1.241 4.616" Properties=species:S:1:pos:R:3 pbc="T T T"
Cl -1.913 1.457 0.143
Cl -0.300 -0.620 2.308
Cl -1.433 -1.815 -0.674
Rh -3.646 -0.978 1.777
V 0.000 0.000 0.000
```



ii.
Compound: VRhCl3
Source: Alexandria
Functional: GGA-PBE
Structure: relaxed

Computed properties:
Magnetization = 3.54 Bohr magnetons per cell
Theoretical density = 3907 kg/m3
Symmetry = Pm-3m, No. 221

Geometry as extended XYZ:
```
5
Lattice="-0.092 4.378 1.967 -3.906 -1.212 2.514 2.789 -1.552 3.585" Properties=species:S:1:pos:R:3 pbc="T T T"
V -0.604 0.807 4.033
Cl 1.395 -0.776 1.793
Cl -0.046 2.189 0.983
Cl -1.953 -0.606 1.257
Rh 0.000 0.000 0.000
```



Preferred: i; penalty for the next structure: 0.165 eV/atom.



i.
Compound: VRhCl2
Source: Alexandria
Functional: GGA-PBE
Structure: relaxed

Computed properties:
Magnetization = 4.00 Bohr magnetons per cell
Theoretical density = 5244 kg/m3
Symmetry = I-42d, No. 122

Geometry as extended XYZ:
```
8
Lattice="-0.041 -1.518 -4.090 4.336 -0.463 0.129 1.326 -7.956 0.613" Properties=species:S:1:pos:R:3 pbc="T T T"
Cl 2.635 -6.713 -1.024
Cl 4.724 -7.698 -3.007
Cl 3.036 -2.479 -0.305
Cl 0.849 -2.986 -2.359
Rh 1.717 -5.233 -2.728
Rh 0.000 0.000 0.000
V 2.148 -0.991 -1.980
V 3.905 -4.705 -0.619
```



ii.
Compound: VRhCl2
Source: Alexandria
Functional: GGA-PBE
Structure: relaxed

Computed properties:
Magnetization = 0.68 Bohr magnetons per cell
Theoretical density = 5876 kg/m3
Symmetry = R-3m, No. 166

Geometry as extended XYZ:
```
4
Lattice="1.765 0.000 7.850 -0.882 1.528 7.850 -0.882 -1.528 7.850" Properties=species:S:1:pos:R:3 pbc="T T T"
Cl 0.000 0.000 21.233
Cl 0.000 0.000 2.317
Rh 0.000 0.000 0.000
V 0.000 0.000 11.775
```



Preferred: ii; penalty for the next structure: 0.174 eV/atom.



i.
Compound: V2RhCl
Source: Alexandria
Functional: GGA-PBE
Structure: relaxed

Computed properties:
Magnetization = 1.03 Bohr magnetons per cell
Theoretical density = 7058 kg/m3
Symmetry = Fm-3m, No. 225

Geometry as extended XYZ:
```
4
Lattice="-3.676 -1.851 -1.271 -3.508 2.410 -0.664 -1.455 0.628 -4.005" Properties=species:S:1:pos:R:3 pbc="T T T"
V -6.479 0.891 -4.455
V -2.160 0.297 -1.485
Cl 0.000 0.000 0.000
Rh -4.320 0.594 -2.970
```



ii.
Compound: V2RhCl
Source: Alexandria
Functional: GGA-PBE
Structure: relaxed

Computed properties:
Magnetization = 0.01 Bohr magnetons per cell
Theoretical density = 6556 kg/m3
Symmetry = I-42d, No. 122

Geometry as extended XYZ:
```
8
Lattice="-5.980 -0.328 -2.106 -0.165 -6.183 1.430 -4.083 -2.589 2.428" Properties=species:S:1:pos:R:3 pbc="T T T"
V -2.009 -4.560 1.189
V -5.370 -4.526 1.601
V -4.641 -1.617 -0.482
V -8.435 -7.496 1.197
Cl -3.660 -6.014 1.760
Cl -3.072 -3.255 -0.338
Rh 0.000 0.000 0.000
Rh -6.568 -3.086 -0.008
```



Preferred: ii; penalty for the next structure: 0.011 eV/atom.